Entry 1:
# ScPaTcW | Alexandria | PBE | optimized geometry
data_ScPaTcW
_cell_length_a 4.746
_cell_length_b 4.746
_cell_length_c 4.746
_cell_angle_alpha 60.00
_cell_angle_beta 60.00
_cell_angle_gamma 60.00
_space_group_name_H-M_alt 'P 1'
_space_group_IT_number 1
loop_
_space_group_symop_operation_xyz
'x,y,z'
loop_
_atom_site_label
_atom_site_type_symbol
_atom_site_fract_x
_atom_site_fract_y
_atom_site_fract_z
_atom_site_occupancy
W1 W 0.000 0.000 0.000 1
Sc1 Sc 0.750 0.750 0.750 1
Pa1 Pa 0.250 0.250 0.250 1
Tc1 Tc 0.500 0.500 0.500 1
# - Formation energy from the elements: -0.02 eV per atom
# - Calculated density: 12.25 Mg/m³
# - Magnetic moment: 0.000 μB per formula unit
# - Space group: F-43m, No. 216
# - Crystal system: cubic


Entry 2:
# TaCrNi2 | Alexandria | PBE | optimized geometry
data_TaCrNi2
_cell_length_a 4.651
_cell_length_b 4.651
_cell_length_c 4.651
_cell_angle_alpha 133.02
_cell_angle_beta 133.03
_cell_angle_gamma 68.62
_space_group_name_H-M_alt 'P 1'
_space_group_IT_number 1
loop_
_space_group_symop_operation_xyz
'x,y,z'
loop_
_atom_site_label
_atom_site_type_symbol
_atom_site_fract_x
_atom_site_fract_y
_atom_site_fract_z
_atom_site_occupancy
Cr1 Cr 0.250 0.750 0.500 1
Ta1 Ta 0.500 0.500 0.000 1
Ni1 Ni 0.750 0.250 0.500 1
Ni2 Ni 0.000 0.000 0.000 1
# - Formation energy from the elements: -0.05 eV per atom
# - Calculated density: 11.02 Mg/m³
# - Magnetic moment: 3.162 μB per formula unit
# - Space group: I-4m2, No. 119
# - Crystal system: tetragonal


Entry 3:
# Sr3Np2UN6 | Alexandria | PBE | optimized geometry
data_Sr3Np2UN6
_cell_length_a 6.175
_cell_length_b 6.175
_cell_length_c 6.312
_cell_angle_alpha 99.38
_cell_angle_beta 99.38
_cell_angle_gamma 120.00
_space_group_name_H-M_alt 'P 1'
_space_group_IT_number 1
loop_
_space_group_symop_operation_xyz
'x,y,z'
loop_
_atom_site_label
_atom_site_type_symbol
_atom_site_fract_x
_atom_site_fract_y
_atom_site_fract_z
_atom_site_occupancy
Np1 Np 0.667 0.333 0.000 1
Np2 Np 0.333 0.667 0.000 1
N1 N 0.064 0.390 0.193 1
N2 N 0.739 0.739 0.193 1
N3 N 0.390 0.064 0.193 1
N4 N 0.610 0.936 0.807 1
N5 N 0.936 0.610 0.807 1
N6 N 0.261 0.261 0.807 1
Sr1 Sr 0.167 0.833 0.500 1
Sr2 Sr 0.833 0.167 0.500 1
Sr3 Sr 0.500 0.500 0.500 1
U1 U 0.000 0.000 0.000 1
# - Calculated density: 8.92 Mg/m³
# - Magnetic moment: 7.964 μB per formula unit
# - Formation energy without anion corrections: -1.078 eV/atom
# - Space group: C2/m, No. 12
# - Crystal system: monoclinic